1.
DFT (GGA-PBE) results for a relaxed structure of Sr2MnAlTe5.

The value obtained for the raw formation energy is -0.890 eV per atom. For the density of states at the Fermi level, the calculation gives 7.316 states/eV/cell. The electronic total energy is -159.96 eV per cell. The size of the total moment comes out at 4.02 μB/f.u.

It has space group Cmc2_1 (No. 36), with a = 4.2718 Å, b = 20.4998 Å, c = 13.5659 Å, α = 90.00°, β = 90.00° and γ = 90.00°. The inequivalent atoms are Sr at (0.0000, 0.1066, 0.0000), Sr at (0.0000, 0.1172, 0.6416), Mn at (0.0000, 0.2310, 0.3838), Al at (0.0000, 0.4260, 0.7957), Te at (0.0000, 0.0490, 0.4062), Te at (0.0000, 0.2724, 0.0183), Te at (0.0000, 0.2985, 0.7576), Te at (0.0000, 0.3602, 0.3269) and Te at (0.0000, 0.4863, 0.6272).



2.
DFT (GGA-PBE) results for a relaxed structure of TaMn2Al.

For the density of states at the Fermi level, the calculation gives 12.165 states/eV/cell. Its calculated formation energy is 142 meV/atom. The electronic total energy is -100.10 eV per cell. The size of the total moment comes out at 5.26 μB/f.u.

It has space group R-3m (No. 166, hexagonal axes), with a = 2.8280 Å, b = 2.8280 Å, c = 26.1292 Å, α = 90.00°, β = 90.00° and γ = 120.00°. The inequivalent atoms are Ta at (0.0000, 0.0000, 0.0000), Mn at (0.0000, 0.0000, 0.2475) and Al at (0.0000, 0.0000, 0.5000).



3.
DFT (GGA-PBE) results for a relaxed structure of TaMnAl.

For the density of states at the Fermi level, the calculation gives 17.204 states/eV/cell. Its calculated formation energy is 781 meV/atom. The electronic total energy is -89.68 eV per cell. The size of the total moment comes out at 1.76 μB/f.u. The relative energy among the computed polymorphs comes out at 102.1 kJ/mol of atoms.

It has space group F-43m (No. 216), with a = 6.0825 Å, b = 6.0825 Å, c = 6.0825 Å, α = 90.00°, β = 90.00° and γ = 90.00°. The inequivalent atoms are Ta at (0.0000, 0.0000, 0.0000), Mn at (0.2500, 0.2500, 0.7500) and Al at (0.2500, 0.2500, 0.2500).



4.
DFT (GGA-PBE) results for a relaxed structure of TaMnAl.

For the density of states at the Fermi level, the calculation gives 11.308 states/eV/cell. Its calculated formation energy is -277 meV/atom. The electronic total energy is -102.38 eV per cell. The size of the total moment comes out at 0.02 μB/f.u. The relative energy among the computed polymorphs comes out at 0.0 kJ/mol of atoms.

It has space group Imma (No. 74), with a = 4.8344 Å, b = 5.0553 Å, c = 6.9998 Å, α = 90.00°, β = 90.00° and γ = 90.00°. The inequivalent atoms are Ta at (0.0000, 0.2500, 0.1256), Mn at (0.2500, 0.2500, 0.7500) and Al at (0.0000, 0.0000, 0.5000).



5.
DFT (GGA-PBE) results for a relaxed structure of TaMnAl.

For the density of states at the Fermi level, the calculation gives 19.834 states/eV/cell. Its calculated formation energy is 279 meV/atom. The electronic total energy is -95.71 eV per cell. The size of the total moment comes out at 0.06 μB/f.u. The relative energy among the computed polymorphs comes out at 53.7 kJ/mol of atoms.

It has space group F-43m (No. 216), with a = 5.8569 Å, b = 5.8569 Å, c = 5.8569 Å, α = 90.00°, β = 90.00° and γ = 90.00°. The inequivalent atoms are Ta at (0.0000, 0.0000, 0.0000), Mn at (0.2500, 0.2500, 0.7500) and Al at (0.0000, 0.0000, 0.5000).



6.
DFT (GGA-PBE) results for a relaxed structure of Ta2MnAl3.

For the density of states at the Fermi level, the calculation gives 10.805 states/eV/cell. Its calculated formation energy is -308 meV/atom. The electronic total energy is -137.85 eV per cell. The size of the total moment comes out at 2.22 μB/f.u.

It has space group R-3m (No. 166, hexagonal axes), with a = 5.0980 Å, b = 5.0980 Å, c = 12.1669 Å, α = 90.00°, β = 90.00° and γ = 120.00°. The inequivalent atoms are Ta at (0.0000, 0.0000, 0.1244), Mn at (0.0000, 0.0000, 0.5000) and Al at (0.0000, 0.5000, 0.0000).